(1)
SnMoSCl2 | SCAN | PBEsol geometry

```
data_SnMoSCl2
_space_group_name_H-M_alt 'P 1'
_space_group_IT_number 1
_cell_length_a 5.123
_cell_length_b 5.123
_cell_length_c 5.063
_cell_angle_alpha 90.00
_cell_angle_beta 90.00
_cell_angle_gamma 90.00
loop_
_space_group_symop_operation_xyz
'x,y,z'
loop_
_atom_site_label
_atom_site_fract_x
_atom_site_fract_y
_atom_site_fract_z
Sn1 0.000 0.000 0.000
Mo1 0.500 0.500 0.500
S1 0.000 0.000 0.500
Cl1 0.000 0.500 0.000
Cl2 0.500 0.000 0.000
```

## Properties
* total magnetic moment: 0.969 μB per atom
* total energy: -94.7 eV per cell
* space-group type: No. 123


(2)
Rb2RePt | SCAN | PBEsol geometry

```
data_Rb2RePt
_space_group_name_H-M_alt 'P 1'
_space_group_IT_number 1
_cell_length_a 5.533
_cell_length_b 5.533
_cell_length_c 5.533
_cell_angle_alpha 60.00
_cell_angle_beta 60.00
_cell_angle_gamma 60.00
loop_
_space_group_symop_operation_xyz
'x,y,z'
loop_
_atom_site_label
_atom_site_fract_x
_atom_site_fract_y
_atom_site_fract_z
Rb1 0.250 0.250 0.250
Rb2 0.750 0.750 0.750
Re1 0.000 0.000 0.000
Pt1 0.500 0.500 0.500
```

## Properties
* energy of formation: 1797.8 meV/atom
* total magnetic moment: 1.248 μB per atom
* total energy: -175.6 eV per cell
* space-group type: No. 225


(3)
MnIrPb2 | SCAN | PBEsol geometry

```
data_MnIrPb2
_space_group_name_H-M_alt 'P 1'
_space_group_IT_number 1
_cell_length_a 3.212
_cell_length_b 3.212
_cell_length_c 8.130
_cell_angle_alpha 90.00
_cell_angle_beta 90.00
_cell_angle_gamma 90.00
loop_
_space_group_symop_operation_xyz
'x,y,z'
loop_
_atom_site_label
_atom_site_fract_x
_atom_site_fract_y
_atom_site_fract_z
Mn1 0.000 0.000 0.000
Ir1 0.500 0.500 0.847
Pb1 0.000 0.000 0.612
Pb2 0.500 0.500 0.233
```

## Properties
* energy of formation: 18.4 meV/atom
* total magnetic moment: 1.054 μB per atom
* total energy: -240.8 eV per cell
* space-group type: No. 99


(4)
BeBBr3 | SCAN | PBEsol geometry

```
data_BeBBr3
_space_group_name_H-M_alt 'P 1'
_space_group_IT_number 1
_cell_length_a 4.740
_cell_length_b 4.740
_cell_length_c 4.740
_cell_angle_alpha 90.00
_cell_angle_beta 90.00
_cell_angle_gamma 90.00
loop_
_space_group_symop_operation_xyz
'x,y,z'
loop_
_atom_site_label
_atom_site_fract_x
_atom_site_fract_y
_atom_site_fract_z
Be1 0.000 0.000 0.000
B1 0.500 0.500 0.500
Br1 0.000 0.000 0.500
Br2 0.000 0.500 0.000
Br3 0.500 0.000 0.000
```

## Properties
* energy above the most stable polymorph in this dataset: 0.000 eV/atom
* total magnetic moment: 0.000 μB per atom
* total energy: -67.6 eV per cell
* space-group type: No. 221


(5)
CsCuGe2F | SCAN | PBEsol geometry

```
data_CsCuGe2F
_space_group_name_H-M_alt 'P 1'
_space_group_IT_number 1
_cell_length_a 4.378
_cell_length_b 4.378
_cell_length_c 7.300
_cell_angle_alpha 90.00
_cell_angle_beta 90.00
_cell_angle_gamma 90.00
loop_
_space_group_symop_operation_xyz
'x,y,z'
loop_
_atom_site_label
_atom_site_fract_x
_atom_site_fract_y
_atom_site_fract_z
Cs1 0.000 0.000 0.000
Cu1 0.500 0.500 0.500
Ge1 0.000 0.500 0.500
Ge2 0.500 0.000 0.500
F1 0.500 0.500 0.000
```

## Properties
* total magnetic moment: 0.000 μB per atom
* total energy: -97.2 eV per cell
* space-group type: No. 123


(6)
SiP3I | SCAN | PBEsol geometry

```
data_SiP3I
_space_group_name_H-M_alt 'P 1'
_space_group_IT_number 1
_cell_length_a 4.573
_cell_length_b 4.573
_cell_length_c 4.573
_cell_angle_alpha 90.00
_cell_angle_beta 90.00
_cell_angle_gamma 90.00
loop_
_space_group_symop_operation_xyz
'x,y,z'
loop_
_atom_site_label
_atom_site_fract_x
_atom_site_fract_y
_atom_site_fract_z
Si1 0.000 0.000 0.000
P1 0.000 0.000 0.500
P2 0.000 0.500 0.000
P3 0.500 0.000 0.000
I1 0.500 0.500 0.500
```

## Properties
* total magnetic moment: 0.000 μB per atom
* total energy: -73.2 eV per cell
* space-group type: No. 221


(7)
ZrAg | SCAN | PBEsol geometry

```
data_ZrAg
_space_group_name_H-M_alt 'P 1'
_space_group_IT_number 1
_cell_length_a 3.941
_cell_length_b 3.941
_cell_length_c 3.941
_cell_angle_alpha 60.00
_cell_angle_beta 60.00
_cell_angle_gamma 60.00
loop_
_space_group_symop_operation_xyz
'x,y,z'
loop_
_atom_site_label
_atom_site_fract_x
_atom_site_fract_y
_atom_site_fract_z
Zr1 0.000 0.000 0.000
Ag1 0.500 0.500 0.500
```

## Properties
* energy of formation: 404.7 meV/atom
* total magnetic moment: 0.000 μB per atom
* total energy: -61.3 eV per cell
* space-group type: No. 225


(8)
MgTiCuP3O12 | SCAN | PBEsol geometry

```
data_MgTiCuP3O12
_space_group_name_H-M_alt 'P 1'
_space_group_IT_number 1
_cell_length_a 8.390
_cell_length_b 8.390
_cell_length_c 8.390
_cell_angle_alpha 61.04
_cell_angle_beta 61.04
_cell_angle_gamma 61.04
loop_
_space_group_symop_operation_xyz
'x,y,z'
loop_
_atom_site_label
_atom_site_fract_x
_atom_site_fract_y
_atom_site_fract_z
Mg1 0.000 0.000 0.000
Mg2 0.500 0.500 0.500
Ti1 0.354 0.354 0.354
Ti2 0.854 0.854 0.854
Cu1 0.140 0.140 0.140
Cu2 0.640 0.640 0.640
P1 0.040 0.746 0.453
P2 0.246 0.540 0.953
P3 0.453 0.040 0.746
P4 0.540 0.953 0.246
P5 0.746 0.453 0.040
P6 0.953 0.246 0.540
O1 0.045 0.912 0.258
O2 0.090 0.743 0.937
O3 0.119 0.311 0.494
O4 0.167 0.391 0.993
O5 0.243 0.590 0.437
O6 0.258 0.045 0.912
O7 0.311 0.494 0.119
O8 0.391 0.993 0.167
O9 0.412 0.545 0.758
O10 0.437 0.243 0.590
O11 0.493 0.891 0.667
O12 0.494 0.119 0.311
O13 0.545 0.758 0.412
O14 0.590 0.437 0.243
O15 0.619 0.994 0.811
O16 0.667 0.493 0.891
O17 0.743 0.937 0.090
O18 0.758 0.412 0.545
O19 0.811 0.619 0.994
O20 0.891 0.667 0.493
O21 0.912 0.258 0.045
O22 0.937 0.090 0.743
O23 0.993 0.167 0.391
O24 0.994 0.811 0.619
```

## Properties
* total magnetic moment: 0.115 μB per atom
* total energy: -372.4 eV per cell
* space-group type: No. 161


(9)
Li2AlSe | SCAN | PBEsol geometry

```
data_Li2AlSe
_space_group_name_H-M_alt 'P 1'
_space_group_IT_number 1
_cell_length_a 3.027
_cell_length_b 3.027
_cell_length_c 7.530
_cell_angle_alpha 90.00
_cell_angle_beta 90.00
_cell_angle_gamma 90.00
loop_
_space_group_symop_operation_xyz
'x,y,z'
loop_
_atom_site_label
_atom_site_fract_x
_atom_site_fract_y
_atom_site_fract_z
Li1 0.000 0.000 0.212
Li2 0.000 0.000 0.788
Al1 0.500 0.500 0.500
Se1 0.500 0.500 0.000
```

## Properties
* energy above the most stable polymorph in this dataset: 0.056 eV/atom
* total magnetic moment: 0.000 μB per atom
* total energy: -34.2 eV per cell
* space-group type: No. 123


(10)
ZnFe2Os | SCAN | PBEsol geometry

```
data_ZnFe2Os
_space_group_name_H-M_alt 'P 1'
_space_group_IT_number 1
_cell_length_a 4.870
_cell_length_b 4.870
_cell_length_c 4.870
_cell_angle_alpha 146.53
_cell_angle_beta 128.76
_cell_angle_gamma 62.60
loop_
_space_group_symop_operation_xyz
'x,y,z'
loop_
_atom_site_label
_atom_site_fract_x
_atom_site_fract_y
_atom_site_fract_z
Zn1 0.000 0.000 0.000
Fe1 0.253 0.753 0.500
Fe2 0.481 0.481 0.000
Os1 0.730 0.230 0.500
```

## Properties
* energy of formation: 48.7 meV/atom
* total magnetic moment: 1.431 μB per atom
* total energy: -121.5 eV per cell
* space-group type: No. 44


(11)
NiMoPt2 | SCAN | PBEsol geometry

```
data_NiMoPt2
_space_group_name_H-M_alt 'P 1'
_space_group_IT_number 1
_cell_length_a 2.707
_cell_length_b 2.707
_cell_length_c 7.548
_cell_angle_alpha 90.00
_cell_angle_beta 90.00
_cell_angle_gamma 90.00
loop_
_space_group_symop_operation_xyz
'x,y,z'
loop_
_atom_site_label
_atom_site_fract_x
_atom_site_fract_y
_atom_site_fract_z
Ni1 0.000 0.000 0.000
Mo1 0.500 0.500 0.774
Pt1 0.000 0.000 0.514
Pt2 0.500 0.500 0.237
```

## Properties
* energy of formation: -177.1 meV/atom
* energy above the most stable polymorph in this dataset: 0.133 eV/atom
* total magnetic moment: 0.000 μB per atom
* total energy: -192.2 eV per cell
* space-group type: No. 99


(12)
Li4CrFe3O8 | SCAN | PBEsol geometry

```
data_Li4CrFe3O8
_space_group_name_H-M_alt 'P 1'
_space_group_IT_number 1
_cell_length_a 4.979
_cell_length_b 5.672
_cell_length_c 9.669
_cell_angle_alpha 89.86
_cell_angle_beta 80.74
_cell_angle_gamma 73.42
loop_
_space_group_symop_operation_xyz
'x,y,z'
loop_
_atom_site_label
_atom_site_fract_x
_atom_site_fract_y
_atom_site_fract_z
Li1 0.000 0.000 0.000
Li2 0.000 0.000 0.500
Li3 0.000 0.248 0.251
Li4 0.000 0.500 0.000
Li5 0.000 0.500 0.500
Li6 0.000 0.752 0.749
Li7 0.003 0.248 0.752
Li8 0.997 0.752 0.248
Cr1 0.500 0.375 0.628
Cr2 0.500 0.625 0.372
Fe1 0.497 0.121 0.375
Fe2 0.498 0.877 0.120
Fe3 0.499 0.375 0.119
Fe4 0.501 0.625 0.881
Fe5 0.502 0.123 0.880
Fe6 0.503 0.879 0.625
O1 0.271 0.181 0.561
O2 0.271 0.683 0.062
O3 0.272 0.182 0.061
O4 0.273 0.685 0.561
O5 0.275 0.933 0.306
O6 0.278 0.425 0.306
O7 0.280 0.430 0.818
O8 0.284 0.929 0.813
O9 0.716 0.071 0.187
O10 0.720 0.570 0.182
O11 0.722 0.575 0.694
O12 0.725 0.067 0.694
O13 0.727 0.315 0.439
O14 0.728 0.818 0.939
O15 0.729 0.317 0.938
O16 0.729 0.819 0.439
```

## Properties
* energy above the most stable polymorph in this dataset: 0.005 eV/atom
* total magnetic moment: 0.375 μB per atom
* total energy: -329.9 eV per cell
* space-group type: No. 2


(13)
TaRuRh2 | SCAN | PBEsol geometry

```
data_TaRuRh2
_space_group_name_H-M_alt 'P 1'
_space_group_IT_number 1
_cell_length_a 4.366
_cell_length_b 4.366
_cell_length_c 4.366
_cell_angle_alpha 60.00
_cell_angle_beta 60.00
_cell_angle_gamma 60.00
loop_
_space_group_symop_operation_xyz
'x,y,z'
loop_
_atom_site_label
_atom_site_fract_x
_atom_site_fract_y
_atom_site_fract_z
Ta1 0.000 0.000 0.000
Ru1 0.500 0.500 0.500
Rh1 0.250 0.250 0.250
Rh2 0.750 0.750 0.750
```

## Properties
* energy of formation: 2.7 meV/atom
* energy above the most stable polymorph in this dataset: 0.531 eV/atom
* total magnetic moment: 0.568 μB per atom
* total energy: -168.9 eV per cell
* space-group type: No. 225


(14)
BaScTlPd2 | SCAN | PBEsol geometry

```
data_BaScTlPd2
_space_group_name_H-M_alt 'P 1'
_space_group_IT_number 1
_cell_length_a 5.183
_cell_length_b 5.183
_cell_length_c 5.523
_cell_angle_alpha 90.00
_cell_angle_beta 90.00
_cell_angle_gamma 90.00
loop_
_space_group_symop_operation_xyz
'x,y,z'
loop_
_atom_site_label
_atom_site_fract_x
_atom_site_fract_y
_atom_site_fract_z
Ba1 0.000 0.000 0.000
Sc1 0.000 0.000 0.500
Tl1 0.500 0.500 0.500
Pd1 0.000 0.500 0.000
Pd2 0.500 0.000 0.000
```

## Properties
* energy of formation: 1115.6 meV/atom
* total magnetic moment: 0.001 μB per atom
* total energy: -186.1 eV per cell
* space-group type: No. 123


(15)
CuB2ClF | SCAN | PBEsol geometry

```
data_CuB2ClF
_space_group_name_H-M_alt 'P 1'
_space_group_IT_number 1
_cell_length_a 3.715
_cell_length_b 3.715
_cell_length_c 4.599
_cell_angle_alpha 90.00
_cell_angle_beta 90.00
_cell_angle_gamma 90.00
loop_
_space_group_symop_operation_xyz
'x,y,z'
loop_
_atom_site_label
_atom_site_fract_x
_atom_site_fract_y
_atom_site_fract_z
Cu1 0.000 0.000 0.000
B1 0.000 0.500 0.500
B2 0.500 0.000 0.500
Cl1 0.500 0.500 0.500
F1 0.500 0.500 0.000
```

## Properties
* total magnetic moment: 0.000 μB per atom
* total energy: -33.2 eV per cell
* space-group type: No. 123


(16)
NiIrW2 | SCAN | PBEsol geometry

```
data_NiIrW2
_space_group_name_H-M_alt 'P 1'
_space_group_IT_number 1
_cell_length_a 4.612
_cell_length_b 4.612
_cell_length_c 4.764
_cell_angle_alpha 99.19
_cell_angle_beta 99.19
_cell_angle_gamma 34.38
loop_
_space_group_symop_operation_xyz
'x,y,z'
loop_
_atom_site_label
_atom_site_fract_x
_atom_site_fract_y
_atom_site_fract_z
Ni1 0.000 0.000 0.000
Ir1 0.750 0.750 0.271
W1 0.255 0.255 0.796
W2 0.499 0.499 0.496
```

## Properties
* energy of formation: -50.4 meV/atom
* total magnetic moment: 0.000 μB per atom
* total energy: -226.9 eV per cell
* space-group type: No. 8


(17)
ZnCr2Si | SCAN | PBEsol geometry

```
data_ZnCr2Si
_space_group_name_H-M_alt 'P 1'
_space_group_IT_number 1
_cell_length_a 4.424
_cell_length_b 2.551
_cell_length_c 4.581
_cell_angle_alpha 90.00
_cell_angle_beta 111.40
_cell_angle_gamma 90.00
loop_
_space_group_symop_operation_xyz
'x,y,z'
loop_
_atom_site_label
_atom_site_fract_x
_atom_site_fract_y
_atom_site_fract_z
Zn1 0.000 0.000 0.000
Cr1 0.500 0.000 0.500
Cr2 0.500 0.500 0.000
Si1 0.000 0.500 0.500
```

## Properties
* total magnetic moment: 0.000 μB per atom
* total energy: -59.4 eV per cell
* space-group type: No. 10


(18)
Mg2AlZn | SCAN | PBEsol geometry

```
data_Mg2AlZn
_space_group_name_H-M_alt 'P 1'
_space_group_IT_number 1
_cell_length_a 5.672
_cell_length_b 5.672
_cell_length_c 5.672
_cell_angle_alpha 147.15
_cell_angle_beta 130.56
_cell_angle_gamma 60.63
loop_
_space_group_symop_operation_xyz
'x,y,z'
loop_
_atom_site_label
_atom_site_fract_x
_atom_site_fract_y
_atom_site_fract_z
Mg1 0.000 0.000 0.000
Mg2 0.723 0.223 0.500
Al1 0.456 0.456 0.000
Zn1 0.240 0.740 0.500
```

## Properties
* energy of formation: -20.7 meV/atom
* total magnetic moment: 0.000 μB per atom
* total energy: -31.3 eV per cell
* space-group type: No. 44


(19)
Si2SbMo | SCAN | PBEsol geometry

```
data_Si2SbMo
_space_group_name_H-M_alt 'P 1'
_space_group_IT_number 1
_cell_length_a 4.986
_cell_length_b 4.986
_cell_length_c 4.986
_cell_angle_alpha 140.32
_cell_angle_beta 123.81
_cell_angle_gamma 70.97
loop_
_space_group_symop_operation_xyz
'x,y,z'
loop_
_atom_site_label
_atom_site_fract_x
_atom_site_fract_y
_atom_site_fract_z
Si1 0.000 0.000 0.000
Si2 0.791 0.291 0.500
Sb1 0.539 0.539 0.000
Mo1 0.257 0.757 0.500
```

## Properties
* total magnetic moment: 0.000 μB per atom
* total energy: -90.5 eV per cell
* space-group type: No. 44


(20)
TlNi3C | SCAN | PBEsol geometry

```
data_TlNi3C
_space_group_name_H-M_alt 'P 1'
_space_group_IT_number 1
_cell_length_a 4.631
_cell_length_b 4.631
_cell_length_c 4.631
_cell_angle_alpha 90.00
_cell_angle_beta 90.00
_cell_angle_gamma 90.00
loop_
_space_group_symop_operation_xyz
'x,y,z'
loop_
_atom_site_label
_atom_site_fract_x
_atom_site_fract_y
_atom_site_fract_z
Tl1 0.000 0.000 0.000
Ni1 0.000 0.000 0.500
Ni2 0.000 0.500 0.000
Ni3 0.500 0.000 0.000
C1 0.500 0.500 0.500
```

## Properties
* energy of formation: 2692.4 meV/atom
* total magnetic moment: 0.433 μB per atom
* total energy: -117.5 eV per cell
* space-group type: No. 221